DFT (PBE) results for a geometry-optimized CaCd2Ni structure.

DOS(E_F) in states/eV per cell: 2.5
SG: Cm, No. 8
Crystal system: monoclinic
Energy relative to the elements in kJ per mole of atoms: -11.15

```
CaCd2Ni
1.0
4.590 -0.595 0.104
2.824 3.667 0.104
2.361 0.978 5.039
Ni Ca Cd
1 1 2
direct
0.438 0.438 0.687
0.244 0.244 0.266
0.035 0.035 0.894
0.782 0.782 0.654
```